# CrFe2Os

CrFe2Os after structural relaxation (PBE, Alexandria).

Calculated values
* space-group type: I4/mmm (139)
* calculated volume: 95.3 Å³/cell
* E: -9.37 eV per atom
* calculated formation energy: 0.075 eV/atom
* crystal system: tetragonal

Cell lengths 3.603, 3.603, 7.341 Å; angles 90.00, 90.00, 90.00 degrees
Positions (direct):
Cr  0.000  0.000  0.000
Cr  0.500  0.500  0.500
Fe  0.000  0.500  0.250
Fe  0.000  0.500  0.750
Fe  0.500  0.000  0.250
Fe  0.500  0.000  0.750
Os  0.000  0.000  0.500
Os  0.500  0.500  0.000